one.
Here is an optimized crystal structure of KAl3Ga3 from Alexandria via LeMat-Bulk. Energies are from PBE-GGA.

Summary:
- Density of states at the Fermi level: 0.67 states/eV/atom
- Mass density: 2.86 g cm⁻³

Cell lengths 7.2593, 7.2593, 7.2593 Å; angles 90.00, 90.00, 90.00 degrees
Last column: nearest neighbours and their distance in Å.
Space group Pm-3n (No. 223)
One atom of each set of equivalent atoms:
1 K 0.0000 0.0000 0.0000 x2  12 Al 4.06, 12 Ga 4.06
2 Al 0.0000 0.2500 0.5000 x6  4 Ga 2.57
3 Ga 0.0000 0.5000 0.2500 x6  4 Al 2.57

---

two.
Here is an optimized crystal structure of KAl3Ga3 from Alexandria via LeMat-Bulk. Energies are from PBE-GGA.

Summary:
- Density of states at the Fermi level: 0.33 states/eV/atom
- Mass density: 3.58 g cm⁻³

Cell lengths 10.9961, 10.9961, 2.9170 Å; angles 90.00, 90.00, 120.00 degrees
Last column: nearest neighbours and their distance in Å.
Space group P6_3/m (No. 176)
One atom of each set of equivalent atoms:
1 K 0.3333 0.6667 0.2500 x2  2 K 2.92
2 Al 0.1051 0.2561 0.7500 x6  3 Ga 2.72-2.80, 6 Al 2.85-2.92
3 Ga 0.0120 0.6097 0.7500 x6  4 Ga 2.72-2.92, 3 Al 2.72-2.80

---

Here is how they stack up, most stable first: two, one.

---

one.
Here is an optimized crystal structure of KAl2Ga2 from Alexandria via LeMat-Bulk. Energies are from PBE-GGA.

Summary:
- Density of states at the Fermi level: 0.50 states/eV/atom
- Mass density: 3.65 g cm⁻³

Cell lengths 8.4417, 8.4417, 2.9647 Å; angles 90.00, 90.00, 90.00 degrees
Last column: nearest neighbours and their distance in Å.
Space group P4/mbm (No. 127)
One atom of each set of equivalent atoms:
1 K 0.0000 0.0000 0.0000 x2  2 K 2.96, 4 Al 3.31
2 Al 0.1299 0.3701 0.0000 x4  6 Ga 2.85-2.94, 3 Al 2.96-3.10
3 Ga 0.1576 0.6576 0.5000 x4  6 Al 2.85-2.94, 2 Ga 2.96

---

two.
Here is an optimized crystal structure of KAl2Ga2 from Alexandria via LeMat-Bulk. Energies are from PBE-GGA.

Summary:
- Density of states at the Fermi level: 0.33 states/eV/atom
- Mass density: 3.42 g cm⁻³

Cell lengths 4.3445, 4.3868, 23.6778 Å; angles 90.00, 90.00, 90.00 degrees
Last column: nearest neighbours and their distance in Å.
Space group Imma (No. 74)
One atom of each set of equivalent atoms:
1 K 0.0000 0.2500 0.1620 x4  10 Ga 3.34-3.51, 4 Al 3.59-3.67
2 Al 0.0000 0.2500 0.4588 x4  2 Ga 2.71, 4 Al 2.87-2.93
3 Al 0.0000 0.2500 0.9621 x4  2 Ga 2.74, 4 Al 2.83-2.87
4 Ga 0.0000 0.2500 0.6083 x4  1 Ga 2.70, 4 Al 2.71-2.74
5 Ga 0.0000 0.2500 0.7224 x4  3 Ga 2.54-2.70

---

Here is how they stack up, most stable first: two, one.

---

one.
Here is an optimized crystal structure of KAl2Ga2 from Alexandria via LeMat-Bulk. Energies are from PBE-GGA.

Summary:
- Density of states at the Fermi level: 0.32 states/eV/atom
- Mass density: 3.64 g cm⁻³

Cell lengths 8.4805, 8.4805, 2.9534 Å; angles 90.00, 90.00, 90.00 degrees
Last column: nearest neighbours and their distance in Å.
Space group P4/mbm (No. 127)
One atom of each set of equivalent atoms:
1 K 0.0000 0.0000 0.0000 x2  2 K 2.95, 4 Ga 3.24
2 Al 0.1377 0.3623 0.5000 x4  6 Ga 2.84-2.96, 2 Al 2.95
3 Ga 0.1484 0.6484 0.0000 x4  6 Al 2.84-2.96, 2 Ga 2.95

---

two.
Here is an optimized crystal structure of KAl2Ga2 from Alexandria via LeMat-Bulk. Energies are from PBE-GGA.

Summary:
- Density of states at the Fermi level: 0.32 states/eV/atom
- Mass density: 3.53 g cm⁻³

Cell lengths 4.3533, 4.3533, 11.5331 Å; angles 90.00, 90.00, 90.00 degrees
Last column: nearest neighbours and their distance in Å.
Space group I4/mmm (No. 139)
One atom of each set of equivalent atoms:
1 K 0.0000 0.0000 0.0000 x2  8 Ga 3.34, 8 Al 3.61
2 Al 0.0000 0.5000 0.2500 x4  4 Ga 2.69
3 Ga 0.0000 0.0000 0.3866 x4  1 Ga 2.62, 4 Al 2.69

---

Here is how they stack up, most stable first: two, one.

---

one.
Here is an optimized crystal structure of La6AlGa2 from Alexandria via LeMat-Bulk. Energies are from PBE-GGA.

Summary:
- Density of states at the Fermi level: 1.31 states/eV/atom
- Mass density: 5.85 g cm⁻³

Cell lengths 10.1416, 10.2589, 10.9035 Å; angles 90.00, 90.00, 90.00 degrees
Last column: nearest neighbours and their distance in Å.
Space group Immm (No. 71)
One atom of each set of equivalent atoms:
1 La 0.0000 0.1945 0.2488 x8  2 Ga 3.15-3.43, 2 Al 3.37-3.39
2 La 0.2075 0.5000 0.3298 x8  3 Ga 3.10-3.22
3 La 0.2274 0.3243 0.0000 x8  3 Ga 3.21-3.27, 1 Al 3.30
4 Al 0.0000 0.0000 0.0000 x2  8 La 3.37-3.50
5 Al 0.0000 0.0000 0.5000 x2  8 La 3.30-3.39, 2 Ga 3.55
6 Ga 0.0000 0.3458 0.5000 x4  8 La 3.15-3.27, 1 Ga 3.16
7 Ga 0.0000 0.5000 0.1207 x4  1 Ga 2.63

---

two.
Here is an optimized crystal structure of La6AlGa2 from Alexandria via LeMat-Bulk. Energies are from PBE-GGA.

Summary:
- Density of states at the Fermi level: 1.45 states/eV/atom
- Mass density: 4.95 g cm⁻³

Cell lengths 7.7560, 7.7560, 11.1534 Å; angles 90.00, 90.00, 90.00 degrees
Last column: nearest neighbours and their distance in Å.
Space group P4_2/mnm (No. 136)
One atom of each set of equivalent atoms:
1 La 0.2138 0.2138 0.0000 x4  2 Ga 3.11, 1 Al 3.14
2 La 0.2241 0.2241 0.3348 x8  2 Ga 2.98-3.03, 1 Al 3.07
3 Al 0.0000 0.0000 0.5000 x2  6 La 3.07-3.14
4 Ga 0.0000 0.0000 0.1832 x4  6 La 2.98-3.11

---

Here is how they stack up, most stable first: one, two.

---

one.
Here is an optimized crystal structure of La2Al2Ga from Alexandria via LeMat-Bulk. Energies are from PBE-GGA.

Summary:
- Density of states at the Fermi level: 0.72 states/eV/atom
- Mass density: 5.09 g cm⁻³

Cell lengths 11.6890, 4.4043, 11.5284 Å; angles 90.00, 117.96, 90.00 degrees
Last column: nearest neighbours and their distance in Å.
Space group C2/m (No. 12)
One atom of each set of equivalent atoms:
1 La 0.1159 0.0000 0.4084 x4  6 Al 3.25-3.35, 2 Ga 3.26, 2 La 3.60
2 La 0.2128 0.5000 0.1472 x4  4 Ga 3.31-3.43, 7 Al 3.32-3.44
3 Al 0.0343 0.0000 0.9104 x4  1 Al 2.54, 2 Ga 2.55
4 Al 0.1103 0.5000 0.6161 x4  1 Ga 2.60, 1 Al 2.71
5 Ga 0.0597 0.5000 0.8127 x4  3 Al 2.55-2.60

---

two.
Here is an optimized crystal structure of La2Al2Ga from Alexandria via LeMat-Bulk. Energies are from PBE-GGA.

Summary:
- Density of states at the Fermi level: 1.13 states/eV/atom
- Mass density: 5.22 g cm⁻³

Cell lengths 7.1895, 7.1895, 4.9461 Å; angles 90.00, 90.00, 90.00 degrees
Last column: nearest neighbours and their distance in Å.
Space group P4/mbm (No. 127)
One atom of each set of equivalent atoms:
1 La 0.1709 0.3291 0.0000 x4  6 Al 3.18-3.31, 1 La 3.48
2 Al 0.1320 0.6320 0.5000 x4  1 Al 2.68, 2 Ga 2.81
3 Ga 0.0000 0.0000 0.5000 x2  4 Al 2.81

---

Here is how they stack up, most stable first: one, two.

---

one.
Here is an optimized crystal structure of La2AlGa2 from Alexandria via LeMat-Bulk. Energies are from PBE-GGA.

Summary:
- Density of states at the Fermi level: 0.88 states/eV/atom
- Mass density: 5.84 g cm⁻³

Cell lengths 7.2816, 7.2816, 4.7656 Å; angles 90.00, 90.00, 90.00 degrees
Last column: nearest neighbours and their distance in Å.
Space group P4/mbm (No. 127)
One atom of each set of equivalent atoms:
1 La 0.1741 0.3259 0.0000 x4  6 Ga 3.14-3.26
2 Al 0.0000 0.0000 0.5000 x2  4 Ga 2.86
3 Ga 0.1280 0.6280 0.5000 x4  1 Ga 2.64, 2 Al 2.86

---

two.
Here is an optimized crystal structure of La2AlGa2 from Alexandria via LeMat-Bulk. Energies are from PBE-GGA.

Summary:
- Density of states at the Fermi level: 0.77 states/eV/atom
- Mass density: 5.85 g cm⁻³

Cell lengths 11.5669, 4.5201, 10.9236 Å; angles 90.00, 117.91, 90.00 degrees
Last column: nearest neighbours and their distance in Å.
Space group C2/m (No. 12)
One atom of each set of equivalent atoms:
1 La 0.0003 0.0000 0.1662 x4  7 Ga 3.23-3.59, 4 Al 3.27-3.55
2 La 0.1845 0.0000 0.6040 x4  6 Ga 3.19-3.37, 2 Al 3.38
3 Al 0.2090 0.5000 0.8446 x4  4 Ga 2.66-2.73
4 Ga 0.0197 0.5000 0.3864 x4  1 Al 2.67, 1 Ga 2.72
5 Ga 0.1566 0.5000 0.0639 x4  3 Al 2.66-2.73

---

Here is how they stack up, most stable first: two, one.